First-principles (PBE) data for a geometry-optimized Pm2SmHg6 structure, as listed in Alexandria.

Structure (POSCAR):
```
Pm2SmHg6
1.0
8.717 0.000 0.000
-4.358 7.549 0.000
0.000 0.000 3.471
Pm Sm Hg
2 1 6
Direct
0.333 0.667 0.000
0.667 0.333 0.000
0.000 0.000 0.000
0.000 0.333 0.500
0.000 0.667 0.500
0.333 0.000 0.500
0.333 0.333 0.500
0.667 0.000 0.500
0.667 0.667 0.500
```

Output
electronic total energy	-2.2057	eV per atom
relative energy among the computed polymorphs	0	meV/atom
crystal system	hexagonal
SG	P6/mmm, No. 191
formation energy	-424.4	meV/atom

---

First-principles (PBE) data for a geometry-optimized SmAg5F8 structure, as listed in Alexandria.

Structure (POSCAR):
```
SmAg5F8
1.0
-3.784 3.784 3.773
3.784 -3.784 3.773
3.784 3.784 -3.773
Sm Ag F
1 5 8
Direct
0.000 0.000 0.000
0.170 0.414 0.742
0.250 0.750 0.500
0.572 0.830 0.244
0.586 0.328 0.756
0.672 0.428 0.258
0.257 0.445 0.181
0.264 0.076 0.819
0.384 0.100 0.296
0.555 0.736 0.812
0.803 0.088 0.704
0.900 0.197 0.285
0.912 0.616 0.715
0.924 0.743 0.188
```

Output
electronic total energy	-4.2836	eV per atom
formation energy (no corrections)	-1859	meV/atom
crystal system	tetragonal
SG	I-4, No. 82

---

First-principles (PBE) data for a geometry-optimized Ac4SnPb structure, as listed in Alexandria.

Structure (POSCAR):
```
Ac4SnPb
1.0
8.317 0.000 0.000
0.000 8.317 0.000
0.000 0.000 6.865
Ac Sn Pb
8 2 2
Direct
0.160 0.334 0.000
0.160 0.666 0.500
0.334 0.160 0.500
0.334 0.840 0.000
0.666 0.160 0.000
0.666 0.840 0.500
0.840 0.334 0.500
0.840 0.666 0.000
0.000 0.000 0.250
0.000 0.000 0.750
0.500 0.500 0.250
0.500 0.500 0.750
```

Output
electronic total energy	-4.4404	eV per atom
relative energy among the computed polymorphs	0	meV/atom
crystal system	tetragonal
SG	P4/mcc, No. 124
formation energy	-416.2	meV/atom

---

First-principles (PBE) data for a geometry-optimized SmThBr structure, as listed in Alexandria.

Structure (POSCAR):
```
SmThBr
1.0
6.645 -1.834 0.000
6.645 1.834 0.000
-6.325 0.000 7.843
Sm Th Br
2 2 2
Direct
0.043 0.043 0.214
0.957 0.957 0.786
0.269 0.269 0.867
0.731 0.731 0.133
0.351 0.351 0.462
0.649 0.649 0.538
```

Output
electronic total energy	-5.1424	eV per atom
formation energy (no corrections)	-538	meV/atom
crystal system	monoclinic
SG	C2/m, No. 12

---

First-principles (PBE) data for a geometry-optimized ReRuN2F structure, as listed in Alexandria.

Structure (POSCAR):
```
ReRuN2F
1.0
3.902 0.000 0.000
0.000 3.902 0.000
0.000 0.000 4.087
Re Ru N F
1 1 2 1
Direct
0.000 0.000 0.000
0.500 0.500 0.500
0.000 0.500 0.000
0.500 0.000 0.000
0.000 0.000 0.500
```

Output
electronic total energy	-7.3757	eV per atom
relative energy among the computed polymorphs	0	meV/atom
formation energy (no corrections)	673	meV/atom
crystal system	tetragonal
SG	P4/mmm, No. 123

---

First-principles (PBE) data for a geometry-optimized CdTeN2F structure, as listed in Alexandria.

Structure (POSCAR):
```
CdTeN2F
1.0
4.169 0.000 0.000
0.000 4.169 0.000
0.000 0.000 4.274
Cd Te N F
1 1 2 1
Direct
0.000 0.000 0.000
0.500 0.500 0.500
0.000 0.500 0.500
0.500 0.000 0.500
0.500 0.500 0.000
```

Output
electronic total energy	-3.9147	eV per atom
relative energy among the computed polymorphs	0	meV/atom
formation energy (no corrections)	601	meV/atom
crystal system	tetragonal
SG	P4/mmm, No. 123

---

First-principles (PBE) data for a geometry-optimized KPrIrO6 structure, as listed in Alexandria.

Structure (POSCAR):
```
KPrIrO6
1.0
5.815 0.000 0.000
-2.907 5.036 0.000
0.000 0.000 5.671
K Pr Ir O
1 1 1 6
Direct
0.000 0.000 0.000
0.333 0.667 0.500
0.667 0.333 0.500
0.406 0.059 0.692
0.406 0.347 0.308
0.653 0.059 0.308
0.653 0.594 0.692
0.941 0.347 0.692
0.941 0.594 0.308
```

Output
electronic total energy	-6.3416	eV per atom
formation energy (no corrections)	-1399	meV/atom
crystal system	trigonal
SG	P312, No. 149

---

First-principles (PBE) data for a geometry-optimized VZn2Cd2 structure, as listed in Alexandria.

Structure (POSCAR):
```
VZn2Cd2
1.0
7.815 0.000 0.000
0.000 7.815 0.000
0.000 0.000 3.045
V Zn Cd
2 4 4
Direct
0.000 0.000 0.000
0.500 0.500 0.000
0.170 0.330 0.500
0.330 0.830 0.500
0.670 0.170 0.500
0.830 0.670 0.500
0.132 0.632 0.000
0.368 0.132 0.000
0.632 0.868 0.000
0.868 0.368 0.000
```

Output
electronic total energy	-2.3036	eV per atom
relative energy among the computed polymorphs	78	meV/atom
crystal system	tetragonal
SG	P4/mbm, No. 127
formation energy	395.7	meV/atom

---

The density results, record by record, are as follows: 11.95 6.47 8.63 8.03 8.92 6.42 4.68 7.26 g/cm³.